## ZrMn3F (PBE+U)

Data for ZrMn3F after structural relaxation.

Unit cell a=4.5493 b=4.5493 c=4.5493 alpha=90.00 beta=90.00 gamma=90.00
Last column: nearest neighbours and their distance in Å.
Element x y z (fractional)
Zr1 0.0000 0.0000 0.0000  12 Mn 3.22
Mn1 0.0000 0.5000 0.5000  2 F 2.27
Mn2 0.5000 0.0000 0.5000  2 F 2.27
Mn3 0.5000 0.5000 0.0000  2 F 2.27
F1 0.5000 0.5000 0.5000  6 Mn 2.27

Properties
offset from the most stable computed form: 0.0 meV per atom